## KLaZn (PBE)

Data for a geometry-optimized KLaZn structure.

Results
DOS at the Fermi energy = 1.858 states/eV/atom
total magnetic moment = 0.000 μB per atom
V = 111.0 Å³ per cell
space-group type = No. 216
ΔE_f = 1.106 eV/f.u.
E_tot = -6.2 eV per formula unit

Cell: 5.3938 5.3938 5.3938 Å, 60.00 60.00 60.00°
With the nearest neighbours (Å) after each atom.
Atoms (fractional coordinates):
K: 0.0000 0.0000 0.0000  4 Zn 3.30
La: 0.5000 0.5000 0.5000  4 Zn 3.30
Zn: 0.2500 0.2500 0.2500  4 La 3.30, 4 K 3.30